Model one:
TbNd8Y2 | PBE-GGA | optimized geometry

Values from the calculation:
- DOS at the Fermi energy: 16.99 states/eV per cell
- M_tot: 0.00 μB per formula unit

Structure (POSCAR):
```
TbNd8Y2
1.0
9.301 -2.583 0.000
9.301 2.583 0.000
-2.143 0.000 7.878
Tb Nd Y
1 8 2
direct
0.000 0.000 0.000
0.091 0.091 0.453
0.182 0.182 0.910
0.363 0.363 0.817
0.454 0.454 0.272
0.546 0.546 0.728
0.637 0.637 0.183
0.818 0.818 0.090
0.909 0.909 0.547
0.273 0.273 0.365
0.727 0.727 0.635
```



Model two:
TbNd8Y2 | PBE-GGA | optimized geometry

Values from the calculation:
- DOS at the Fermi energy: 15.02 states/eV per cell
- M_tot: 0.00 μB per formula unit

Structure (POSCAR):
```
TbNd8Y2
1.0
4.604 -8.352 0.000
4.604 8.352 0.000
-3.376 0.000 4.991
Tb Nd Y
1 8 2
direct
0.000 0.000 0.000
0.099 0.336 0.683
0.205 0.795 0.000
0.336 0.099 0.683
0.424 0.424 0.204
0.576 0.576 0.796
0.664 0.901 0.317
0.795 0.205 0.000
0.901 0.664 0.317
0.310 0.690 0.500
0.690 0.310 0.500
```



Stability check: which of them is most stable? model one.



Model one:
Tb3Nd4Y5 | PBE-GGA | optimized geometry

Values from the calculation:
- DOS at the Fermi energy: 15.83 states/eV per cell
- M_tot: 0.00 μB per formula unit

Structure (POSCAR):
```
Tb3Nd4Y5
1.0
6.248 0.000 0.000
0.009 7.207 0.000
0.004 0.021 8.824
Tb Nd Y
3 4 5
direct
0.000 0.000 0.000
0.167 0.248 0.669
0.833 0.752 0.331
0.166 0.751 0.669
0.332 0.500 0.333
0.668 0.500 0.667
0.834 0.249 0.331
0.000 0.500 0.000
0.333 0.000 0.332
0.499 0.248 0.000
0.501 0.752 0.000
0.667 0.000 0.668
```



Model two:
Tb3Nd4Y5 | PBE-GGA | optimized geometry

Values from the calculation:
- DOS at the Fermi energy: 19.85 states/eV per cell
- M_tot: 0.53 μB per formula unit

Structure (POSCAR):
```
Tb3Nd4Y5
1.0
8.125 -2.982 0.000
8.125 2.982 0.000
-4.207 0.000 8.423
Tb Nd Y
3 4 5
direct
0.000 0.000 0.000
0.289 0.289 0.765
0.711 0.711 0.235
0.284 0.284 0.117
0.416 0.416 0.553
0.584 0.584 0.447
0.716 0.716 0.883
0.072 0.072 0.703
0.171 0.171 0.385
0.500 0.500 0.000
0.829 0.829 0.615
0.928 0.928 0.297
```



Stability check: which of them is most stable? model one.